The following is a PBE calculation of crystalline ZnPBrCl2 at its relaxed geometry, from Alexandria.

abc: 5.2502 5.2502 5.2161
angles: 90.00 90.00 90.00
Closest atoms and distances in Å follow each position.
Atoms (fractional coordinates):
Zn (0.0000, 0.0000, 0.0000)  8 Cl 3.70, 4 P 3.71
P (0.5000, 0.5000, 0.0000)  2 Br 2.61
Br (0.5000, 0.5000, 0.5000)  2 P 2.61, 4 Cl 2.63
Cl (0.0000, 0.5000, 0.5000)  2 Br 2.63
Cl (0.5000, 0.0000, 0.5000)  2 Br 2.63

## Properties
total DFT energy (no corrections)	-1.6762	eV/atom
crystal system	tetragonal
energy relative to the lowest polymorph listed for this composition	612	meV per atom
uncorrected formation energy	0.734	eV per atom
spin magnetization	1.33	μB per cell